Entry 1:
DFT (GGA-PBE) results for a geometry-optimized Ga2Cu2TeS3 structure.

Cell: 6.7078 6.7078 5.5474 Å, 113.90 113.90 48.74°
Closest atoms and distances in Å follow each position.
Fractional positions:
Ga  0.1309  0.1309  0.3985  3 S 2.33-2.36, 1 Te 2.60
Ga  0.8691  0.8691  0.6015  3 S 2.33-2.36, 1 Te 2.60
Cu  0.4050  0.3213  0.1367  3 S 2.31-2.33, 1 Te 2.56
Cu  0.6787  0.5950  0.8633  3 S 2.31-2.33, 1 Te 2.56
Te  0.2826  0.7174  0.0000  2 Cu 2.56, 2 Ga 2.60
S  0.0168  0.4834  0.2508  2 Cu 2.33, 2 Ga 2.35-2.36
S  0.5166  0.9832  0.7492  2 Cu 2.33, 2 Ga 2.35-2.36
S  0.7603  0.2397  0.5000  2 Cu 2.31, 2 Ga 2.33

Values from the calculation:
SG = No. 5
energy = -4.097 eV/atom
density = 4.8 g cm⁻³

***

Entry 2:
DFT (GGA-PBE) results for a geometry-optimized Tl2AsOs structure.

Cell: 4.8927 4.8927 4.8927 Å, 60.00 60.00 60.00°
Closest atoms and distances in Å follow each position.
Fractional positions:
Tl  0.0000  0.0000  0.0000  4 Tl 3.00, 4 Os 3.00
Tl  0.2500  0.2500  0.2500  4 As 3.00, 4 Tl 3.00
As  0.5000  0.5000  0.5000  4 Os 3.00, 4 Tl 3.00
Os  0.7500  0.7500  0.7500  4 Tl 3.00, 4 As 3.00

Values from the calculation:
SG = No. 216
size of the total moment = 0.1 Bohr magnetons per cell
energy = -4.179 eV/atom
density = 13.5 g cm⁻³

***

Entry 3:
DFT (GGA-PBE) results for a geometry-optimized LaEr2O3 structure.

Cell: 3.4383 3.4383 8.5175 Å, 90.00 90.00 120.00°
Closest atoms and distances in Å follow each position.
Fractional positions:
La  0.0000  0.0000  0.0000  6 O 2.66
Er  0.3333  0.6667  0.6628  6 O 2.27-2.42
Er  0.6667  0.3333  0.3372  6 O 2.27-2.42
O  0.0000  0.0000  0.5000  6 Er 2.42
O  0.3333  0.6667  0.2084  3 Er 2.27
O  0.6667  0.3333  0.7916  3 Er 2.27

Values from the calculation:
SG = No. 164
size of the total moment = 0.0 Bohr magnetons per cell
energy = -7.679 eV/atom
density = 9.9 g cm⁻³

***

Entry 4:
DFT (GGA-PBE) results for a geometry-optimized YLuPb structure.

Cell: 5.2557 5.2557 5.2557 Å, 60.00 60.00 60.00°
Closest atoms and distances in Å follow each position.
Fractional positions:
Y  0.0000  0.0000  0.0000  4 Pb 3.22, 4 Lu 3.22
Lu  0.7500  0.7500  0.7500  4 Y 3.22
Pb  0.2500  0.2500  0.2500  4 Y 3.22

Values from the calculation:
ΔE to the lowest computed polymorph = 0 meV per atom
SG = No. 216
size of the total moment = 0.0 Bohr magnetons per cell
density = 7.6 g cm⁻³